Here is crystalline NdTl6Pd12 at its relaxed geometry from Alexandria via LeMat-Bulk. Energies are from GGA-PBE. Values from VASP.

```
&SYSTEM
  ibrav = 0, nat = 19, ntyp = 3
/
ATOMIC_SPECIES
Nd 144.24 Nd.upf
Tl 204.38 Tl.upf
Pd 106.42 Pd.upf
ATOMIC_POSITIONS crystal
Nd 0.0000 0.0000 0.0000
Tl 0.6994 0.2858 0.2858
Tl 0.2858 0.2858 0.6994
Tl 0.2858 0.6994 0.2858
Tl 0.7142 0.7142 0.3006
Tl 0.3006 0.7142 0.7142
Tl 0.7142 0.3006 0.7142
Pd 0.8869 0.1131 0.5000
Pd 0.8847 0.6467 0.6467
Pd 0.6467 0.6467 0.8847
Pd 0.3533 0.1153 0.3533
Pd 0.3533 0.3533 0.1153
Pd 0.1153 0.3533 0.3533
Pd 0.1131 0.5000 0.8869
Pd 0.5000 0.8869 0.1131
Pd 0.1131 0.8869 0.5000
Pd 0.8869 0.5000 0.1131
Pd 0.5000 0.1131 0.8869
Pd 0.6467 0.8847 0.6467
CELL_PARAMETERS angstrom
7.6437 -0.0668 -0.0940
-1.9595 7.3886 -0.0940
-1.9595 -2.5239 6.9447
```

Values from the calculation:
Energy relative to the elements, meV/atom: -145
Crystal system: trigonal
Total magnetic moment, μB/f.u.: 0.00

Here is crystalline NdTlPd at its relaxed geometry from Alexandria via LeMat-Bulk. Energies are from GGA-PBE. Values from VASP.

```
&SYSTEM
  ibrav = 0, nat = 3, ntyp = 3
/
ATOMIC_SPECIES
Tl 204.38 Tl.upf
Nd 144.24 Nd.upf
Pd 106.42 Pd.upf
ATOMIC_POSITIONS crystal
Tl 0.1667 0.0000 0.0000
Nd 0.6667 0.6667 0.3333
Pd 0.1666 0.3333 0.6667
CELL_PARAMETERS angstrom
3.6689 0.0000 0.0000
0.0000 4.8191 0.0000
0.0000 -2.4095 4.1735
```

Values from the calculation:
Energy relative to the elements, meV/atom: -545
Crystal system: hexagonal
Total magnetic moment, μB/f.u.: 0.00

Here is crystalline NdTlPd at its relaxed geometry from Alexandria via LeMat-Bulk. Energies are from GGA-PBE. Values from VASP.

```
&SYSTEM
  ibrav = 0, nat = 6, ntyp = 3
/
ATOMIC_SPECIES
Tl 204.38 Tl.upf
Pd 106.42 Pd.upf
Nd 144.24 Nd.upf
ATOMIC_POSITIONS crystal
Tl 0.7500 0.6105 0.7790
Tl 0.2500 0.3895 0.2210
Pd 0.5000 0.0000 0.0000
Pd 0.0000 0.0000 0.0000
Nd 0.7500 0.8315 0.3370
Nd 0.2500 0.1685 0.6630
CELL_PARAMETERS angstrom
5.4342 0.0000 0.0000
0.0000 3.9642 0.0000
0.0000 1.9821 7.4637
```

Values from the calculation:
Energy relative to the elements, meV/atom: -316
Crystal system: orthorhombic
Total magnetic moment, μB/f.u.: 0.00

Here is crystalline Nd3Tl2Pd7 at its relaxed geometry from Alexandria via LeMat-Bulk. Energies are from GGA-PBE. Values from VASP.

```
&SYSTEM
  ibrav = 0, nat = 12, ntyp = 3
/
ATOMIC_SPECIES
Nd 144.24 Nd.upf
Tl 204.38 Tl.upf
Pd 106.42 Pd.upf
ATOMIC_POSITIONS crystal
Nd 0.3171 0.3171 0.6341
Nd 0.6829 0.6829 0.3659
Nd 0.5000 0.5000 0.0000
Tl 0.1295 0.1295 0.2589
Tl 0.8705 0.8705 0.7411
Pd 0.0000 0.0000 0.0000
Pd 0.9298 0.4298 0.8595
Pd 0.4298 0.9298 0.8595
Pd 0.0702 0.5702 0.1405
Pd 0.5702 0.0702 0.1405
Pd 0.2228 0.2228 0.4456
Pd 0.7772 0.7772 0.5544
CELL_PARAMETERS angstrom
-3.1599 0.3572 2.6200
0.8001 -3.7620 1.4778
10.5279 7.7933 8.3952
```

Values from the calculation:
Energy relative to the elements, meV/atom: -523
Crystal system: tetragonal
Total magnetic moment, μB/f.u.: 0.00

Looking at final energy for the records above, in order, we have -4.422; -4.654; -4.425; -5.139 eV/atom.